Compound: Fe3OF9
Source: Alexandria
Functional: GGA+U
Structure: relaxed

```
data_Fe3OF9
_cell_length_a 7.5148
_cell_length_b 12.9624
_cell_length_c 7.6651
_cell_angle_alpha 90.00
_cell_angle_beta 90.00
_cell_angle_gamma 90.00
_space_group_name_H-M_alt 'C m c m'
_space_group_IT_number 63
_space_group_name_Hall '-C 2c 2'
loop_
_atom_site_label
_atom_site_type_symbol
_atom_site_fract_x
_atom_site_fract_y
_atom_site_fract_z
Fe1 Fe 0.0000 0.0000 0.0000
Fe2 Fe 0.2500 0.2500 0.0000
O1 O 0.0000 0.4895 0.2500
F1 F 0.0000 0.0297 0.7500
F2 F 0.0000 0.2863 0.5402
F3 F 0.1834 0.1056 0.0336
F4 F 0.2180 0.2748 0.2500
```

Results
Energy: -0.36837 Ry per atom
Spin magnetization: 1.308 μB per atom